Entry from Alexandria via LeMat-Bulk: an optimized crystal structure of InCoIr2 (PBE).

Unit cell a=4.4376 b=4.4376 c=3.1005 alpha=90.00 beta=90.00 gamma=90.00
Last column: magnetic moment on the atom in μB.
Atoms (fractional coordinates):
In 0.0000 0.5000 0.5000  -0.02
Ir 0.5000 0.5000 0.0000  0.44
Ir 0.0000 0.0000 0.0000  0.44
Co 0.5000 0.0000 0.5000  1.98

Results
- E_tot (hartree per atom) = -0.2447
- energy relative to the elements (eV/atom) = 0.232
- calculated volume (Å³ per cell) = 61.1
- SG = P4/mmm (123)